(1)
La2SiS5 SCAN single point on PBEsol structure; ΔE_f (raw) = -1.91 eV per atom; space group = P2_1/c; crystal system = monoclinic; total magnetic moment = 0.00 μB per formula unit
1.0
7.516 0.005 0.000
-1.533 7.642 0.000
0.000 0.000 12.533
S Si La
20 4 8
Cartesian
-0.645 4.200 9.667
4.052 3.821 4.755
-0.520 5.484 6.289
4.470 2.953 12.182
2.698 0.006 11.022
1.931 3.827 7.778
3.285 7.642 1.511
6.502 2.164 6.244
3.703 6.774 6.618
6.627 3.447 2.866
0.247 1.663 12.511
2.279 0.874 5.916
5.860 7.269 3.401
1.592 6.158 3.718
1.513 4.695 0.351
3.624 5.311 9.985
2.359 2.336 2.548
5.736 5.985 0.022
0.122 0.379 9.133
4.390 1.490 8.815
6.093 0.728 7.730
-0.111 6.920 4.803
0.656 3.099 1.463
5.326 4.549 11.070
4.724 4.156 7.467
1.968 2.794 10.458
4.015 4.854 2.075
0.491 7.313 1.200
5.491 0.334 11.333
4.781 1.033 4.192
1.258 3.492 5.066
1.201 6.615 8.342



(2)
La2SmS4 SCAN single point on PBEsol structure; ΔE_f (raw) = -2.40 eV per atom; space group = I-42d; crystal system = tetragonal; total magnetic moment = 0.00 μB per formula unit
1.0
-1.266 7.146 1.321
0.391 -3.680 6.381
6.380 -0.721 -3.632
S La Sm
8 4 2
Cartesian
4.876 3.280 1.841
1.216 1.510 1.376
0.113 1.512 6.777
1.425 -0.327 4.567
3.742 -0.594 1.115
4.806 -0.812 -1.852
4.159 2.759 -1.192
1.684 3.653 3.651
3.460 1.275 3.330
-0.344 5.648 3.270
5.630 -2.036 2.726
2.264 0.604 -1.185
-0.437 1.733 3.851
2.339 4.079 0.770



(3)
LaSmS2 SCAN single point on PBEsol structure; ΔE_f (raw) = -2.35 eV per atom; space group = R-3m; crystal system = trigonal; total magnetic moment = 0.00 μB per formula unit
1.0
4.007 0.000 0.000
2.004 3.470 0.000
2.004 1.157 6.636
S La Sm
2 1 1
Cartesian
2.004 1.157 1.732
6.011 3.470 4.903
0.000 0.000 0.000
4.007 2.314 3.318



(4)
LaSn3S SCAN single point on PBEsol structure; ΔE_f (raw) = -0.11 eV per atom; space group = Pm-3m; crystal system = cubic; total magnetic moment = 0.00 μB per formula unit
1.0
-4.048 -2.161 2.460
1.680 -4.728 -1.390
2.811 -0.287 4.373
S La Sn
1 1 3
Cartesian
0.000 0.000 0.000
0.221 -3.588 2.721
0.840 -2.364 -0.695
1.405 -0.144 2.186
-2.024 -1.081 1.230



Number 1: energy -19.96 eV/atom. Number 2: energy -26.56 eV/atom. Number 3: energy -29.05 eV/atom. Number 4: energy -32.21 eV/atom.